A relaxed CaSbTe2As crystal, computed with PBE-GGA.

a b c (Å): 5.7241 5.7241 5.8710
angles (deg): 90.00 90.00 90.00
Space group P4/mmm (No. 123)
Asymmetric unit:
Ca  0.0000  0.0000  0.0000 (multiplicity 1)
Sb  0.0000  0.0000  0.5000 (multiplicity 1)
Te  0.0000  0.5000  0.0000 (multiplicity 2)
As  0.5000  0.5000  0.5000 (multiplicity 1)

magnetic moment = 0.99 μB/cell
E_form (uncorrected) = 0.644 eV per atom
E above lowest polymorph = 3.64 eV per formula unit

A relaxed CaSb2TeAs crystal, computed with PBE-GGA.

a b c (Å): 5.3389 5.3389 5.6544
angles (deg): 90.00 90.00 90.00
Space group P4/mmm (No. 123)
Asymmetric unit:
Ca  0.0000  0.0000  0.0000 (multiplicity 1)
Sb  0.0000  0.5000  0.5000 (multiplicity 2)
Te  0.5000  0.5000  0.0000 (multiplicity 1)
As  0.5000  0.5000  0.5000 (multiplicity 1)

magnetic moment = 0.00 μB/cell
E_form (uncorrected) = 0.039 eV per atom
E above lowest polymorph = 0.00 eV per formula unit

A relaxed Ca4U3SbAs8 crystal, computed with PBE-GGA.

a b c (Å): 8.3814 8.3814 20.4750
angles (deg): 90.00 90.00 120.00
Space group R-3m (No. 166, hexagonal axes)
Asymmetric unit:
Ca  0.0000  0.0000  0.0000 (multiplicity 3)
Ca  0.0000  0.5000  0.0000 (multiplicity 9)
U  0.0000  0.5000  0.5000 (multiplicity 9)
Sb  0.0000  0.0000  0.5000 (multiplicity 3)
As  0.0000  0.0000  0.2438 (multiplicity 6)
As  0.0074  0.5037  0.7567 (multiplicity 18)

magnetic moment = 15.02 μB/cell
E_form (uncorrected) = -0.837 eV per atom

A relaxed CaScAs2 crystal, computed with PBE-GGA.

a b c (Å): 4.0008 4.0008 20.7291
angles (deg): 90.00 90.00 120.00
Space group R3m (No. 160, hexagonal axes)
Asymmetric unit:
Ca  0.0000  0.0000  0.0000 (multiplicity 3)
Sc  0.0000  0.0000  0.1726 (multiplicity 3)
As  0.0000  0.0000  0.5763 (multiplicity 3)
As  0.0000  0.0000  0.7638 (multiplicity 3)

magnetic moment = 0.00 μB/cell
E above lowest polymorph = 0.19 eV per formula unit

A relaxed CaScAs2 crystal, computed with PBE-GGA.

a b c (Å): 4.0369 4.0369 10.5281
angles (deg): 90.00 90.00 90.00
Space group I-4m2 (No. 119)
Asymmetric unit:
Ca  0.0000  0.0000  0.0000 (multiplicity 2)
Sc  0.0000  0.5000  0.7500 (multiplicity 2)
As  0.0000  0.0000  0.5000 (multiplicity 2)
As  0.0000  0.5000  0.2500 (multiplicity 2)

magnetic moment = 0.00 μB/cell
E above lowest polymorph = 1.00 eV per formula unit

A relaxed CaScAs2 crystal, computed with PBE-GGA.

a b c (Å): 7.0122 7.0122 7.0122
angles (deg): 90.00 90.00 90.00
Space group F-43m (No. 216)
Asymmetric unit:
Ca  0.0000  0.0000  0.0000 (multiplicity 4)
Sc  0.2500  0.2500  0.7500 (multiplicity 4)
As  0.0000  0.0000  0.5000 (multiplicity 4)
As  0.2500  0.2500  0.2500 (multiplicity 4)

magnetic moment = 0.00 μB/cell
E above lowest polymorph = 3.64 eV per formula unit

A relaxed Ca2ScAs crystal, computed with PBE-GGA.

a b c (Å): 3.5759 3.5759 8.9290
angles (deg): 90.00 90.00 90.00
Space group P4/mmm (No. 123)
Asymmetric unit:
Ca  0.0000  0.0000  0.1912 (multiplicity 2)
Sc  0.5000  0.5000  0.5000 (multiplicity 1)
As  0.5000  0.5000  0.0000 (multiplicity 1)

magnetic moment = 0.30 μB/cell

A relaxed CaScAs2 crystal, computed with PBE-GGA.

a b c (Å): 3.6050 3.6050 26.8206
angles (deg): 90.00 90.00 120.00
Space group R3m (No. 160, hexagonal axes)
Asymmetric unit:
Ca  0.0000  0.0000  0.0000 (multiplicity 3)
Sc  0.0000  0.0000  0.2199 (multiplicity 3)
As  0.0000  0.0000  0.4834 (multiplicity 3)
As  0.0000  0.0000  0.7524 (multiplicity 3)

magnetic moment = 0.00 μB/cell
E above lowest polymorph = 4.14 eV per formula unit

A relaxed CaScAs2 crystal, computed with PBE-GGA.

a b c (Å): 5.8748 5.8748 14.6634
angles (deg): 90.00 90.00 90.00
Space group I-42d (No. 122)
Asymmetric unit:
Ca  0.0000  0.0000  0.0000 (multiplicity 4)
Sc  0.0000  0.0000  0.5000 (multiplicity 4)
As  0.1965  0.2500  0.6250 (multiplicity 8)

magnetic moment = 0.00 μB/cell
E above lowest polymorph = 1.85 eV per formula unit

A relaxed Ca2ScAs crystal, computed with PBE-GGA.

a b c (Å): 3.6836 4.0058 16.6351
angles (deg): 90.00 90.00 90.00
Space group Immm (No. 71)
Asymmetric unit:
Ca  0.0000  0.0000  0.1648 (multiplicity 4)
Sc  0.0000  0.5000  0.0000 (multiplicity 2)
As  0.0000  0.5000  0.5000 (multiplicity 2)

magnetic moment = 1.03 μB/cell

A relaxed CaSc2As2 crystal, computed with PBE-GGA.

a b c (Å): 4.3460 4.3460 12.7046
angles (deg): 90.00 90.00 90.00
Space group I4/mmm (No. 139)
Asymmetric unit:
Ca  0.0000  0.0000  0.0000 (multiplicity 2)
Sc  0.0000  0.5000  0.2500 (multiplicity 4)
As  0.0000  0.0000  0.3782 (multiplicity 4)

magnetic moment = 1.90 μB/cell
E above lowest polymorph = 0.31 eV per formula unit

A relaxed CaScAs2 crystal, computed with PBE-GGA.

a b c (Å): 3.7078 4.3463 5.4770
angles (deg): 90.00 90.00 90.00
Space group Pmmm (No. 47)
Asymmetric unit:
Ca  0.0000  0.0000  0.0000 (multiplicity 1)
Sc  0.0000  0.5000  0.5000 (multiplicity 1)
As  0.5000  0.0000  0.5000 (multiplicity 1)
As  0.5000  0.5000  0.0000 (multiplicity 1)

magnetic moment = 0.00 μB/cell
E above lowest polymorph = 1.10 eV per formula unit

A relaxed Ca2ScAs crystal, computed with PBE-GGA.

a b c (Å): 10.2236 10.2236 5.2482
angles (deg): 90.00 90.00 90.00
Space group I-42d (No. 122)
Asymmetric unit:
Ca  0.1225  0.2500  0.1250 (multiplicity 8)
Sc  0.0000  0.0000  0.5000 (multiplicity 4)
As  0.0000  0.0000  0.0000 (multiplicity 4)

magnetic moment = 0.00 μB/cell

A relaxed Ca2ScAs crystal, computed with PBE-GGA.

a b c (Å): 7.4244 7.4244 7.4244
angles (deg): 90.00 90.00 90.00
Space group F-43m (No. 216)
Asymmetric unit:
Ca  0.0000  0.0000  0.0000 (multiplicity 4)
Ca  0.2500  0.2500  0.2500 (multiplicity 4)
Sc  0.2500  0.2500  0.7500 (multiplicity 4)
As  0.0000  0.0000  0.5000 (multiplicity 4)

magnetic moment = 0.01 μB/cell

A relaxed CaScAs4 crystal, computed with PBE-GGA.

a b c (Å): 8.0419 8.0419 8.0419
angles (deg): 90.00 90.00 90.00
Space group F-43m (No. 216)
Asymmetric unit:
Ca  0.0000  0.0000  0.0000 (multiplicity 4)
Sc  0.2500  0.2500  0.7500 (multiplicity 4)
As  0.1242  0.1242  0.3758 (multiplicity 16)

magnetic moment = 0.00 μB/cell

A relaxed CaScAs2 crystal, computed with PBE-GGA.

a b c (Å): 4.2727 5.6130 7.4743
angles (deg): 90.00 90.00 90.00
Space group Immm (No. 71)
Asymmetric unit:
Ca  0.0000  0.0000  0.0000 (multiplicity 2)
Sc  0.0000  0.0000  0.5000 (multiplicity 2)
As  0.0000  0.5000  0.2363 (multiplicity 4)

magnetic moment = 0.00 μB/cell
E above lowest polymorph = 0.91 eV per formula unit

A relaxed CaScAs2 crystal, computed with PBE-GGA.

a b c (Å): 4.3044 5.4302 7.5374
angles (deg): 90.00 90.00 90.00
Space group Cmmm (No. 65)
Asymmetric unit:
Ca  0.0000  0.0000  0.0000 (multiplicity 2)
Sc  0.0000  0.0000  0.5000 (multiplicity 2)
As  0.0000  0.5000  0.2719 (multiplicity 4)

magnetic moment = 0.00 μB/cell
E above lowest polymorph = 0.71 eV per formula unit

A relaxed CaScAs2 crystal, computed with PBE-GGA.

a b c (Å): 7.0169 7.0169 7.0169
angles (deg): 90.00 90.00 90.00
Space group Fm-3m (No. 225)
Asymmetric unit:
Ca  0.0000  0.0000  0.0000 (multiplicity 4)
Sc  0.0000  0.0000  0.5000 (multiplicity 4)
As  0.2500  0.2500  0.2500 (multiplicity 8)

magnetic moment = 0.00 μB/cell
E above lowest polymorph = 1.11 eV per formula unit

A relaxed CaScAs2 crystal, computed with PBE-GGA.

a b c (Å): 10.7890 3.8957 4.2324
angles (deg): 90.00 96.65 90.00
Space group Cm (No. 8)
Asymmetric unit:
Ca  0.0000  0.0000  0.0000 (multiplicity 2)
Sc  0.2443  0.5000  0.5025 (multiplicity 2)
As  0.2652  0.0000  0.0179 (multiplicity 2)
As  0.4793  0.0000  0.4886 (multiplicity 2)

magnetic moment = 0.00 μB/cell
E above lowest polymorph = 0.64 eV per formula unit

A relaxed CaScAs2 crystal, computed with PBE-GGA.

a b c (Å): 3.2261 3.6883 7.4410
angles (deg): 90.00 100.37 90.00
Space group P2/m (No. 10)
Asymmetric unit:
Ca  0.0000  0.0000  0.0000 (multiplicity 1)
Sc  0.0000  0.0000  0.5000 (multiplicity 1)
As  0.4550  0.5000  0.7309 (multiplicity 2)

magnetic moment = 0.00 μB/cell
E above lowest polymorph = 0.67 eV per formula unit

A relaxed Ca2ScAs crystal, computed with PBE-GGA.

a b c (Å): 3.6237 3.6237 8.9115
angles (deg): 90.00 90.00 90.00
Space group P4mm (No. 99)
Asymmetric unit:
Ca  0.0000  0.0000  0.0000 (multiplicity 1)
Ca  0.5000  0.5000  0.3512 (multiplicity 1)
Sc  0.0000  0.0000  0.6490 (multiplicity 1)
As  0.5000  0.5000  0.7726 (multiplicity 1)

magnetic moment = 0.00 μB/cell

A relaxed Ca2ScAs crystal, computed with PBE-GGA.

a b c (Å): 3.8437 3.8437 29.6850
angles (deg): 90.00 90.00 120.00
Space group R-3m (No. 166, hexagonal axes)
Asymmetric unit:
Ca  0.0000  0.0000  0.2281 (multiplicity 6)
Sc  0.0000  0.0000  0.0000 (multiplicity 3)
As  0.0000  0.0000  0.5000 (multiplicity 3)

magnetic moment = 2.22 μB/cell

A relaxed CaScAs2 crystal, computed with PBE-GGA.

a b c (Å): 6.9074 4.0072 7.1995
angles (deg): 90.00 108.81 90.00
Space group C2/m (No. 12)
Asymmetric unit:
Ca  0.0000  0.0000  0.0000 (multiplicity 2)
Sc  0.0000  0.5000  0.5000 (multiplicity 2)
As  0.2405  0.0000  0.7217 (multiplicity 4)

magnetic moment = 0.00 μB/cell
E above lowest polymorph = 0.00 eV per formula unit

A relaxed Ca2ScAs crystal, computed with PBE-GGA.

a b c (Å): 4.0433 4.0433 6.3468
angles (deg): 90.00 90.00 90.00
Space group P4/mmm (No. 123)
Asymmetric unit:
Ca  0.0000  0.0000  0.2270 (multiplicity 2)
Sc  0.5000  0.5000  0.5000 (multiplicity 1)
As  0.5000  0.5000  0.0000 (multiplicity 1)

magnetic moment = 0.00 μB/cell

A relaxed Ca2ScAs crystal, computed with PBE-GGA.

a b c (Å): 4.0531 4.6822 12.4051
angles (deg): 90.00 90.00 90.00
Space group Amm2 (No. 38)
Asymmetric unit:
Ca  0.0000  0.0000  0.0000 (multiplicity 2)
Ca  0.5000  0.0000  0.3129 (multiplicity 2)
Sc  0.0000  0.0000  0.7004 (multiplicity 2)
As  0.5000  0.0000  0.5637 (multiplicity 2)

magnetic moment = 0.00 μB/cell

A relaxed CaScAs2 crystal, computed with PBE-GGA.

a b c (Å): 3.1455 3.1455 10.1421
angles (deg): 90.00 90.00 90.00
Space group P4mm (No. 99)
Asymmetric unit:
Ca  0.0000  0.0000  0.0000 (multiplicity 1)
Sc  0.5000  0.5000  0.3098 (multiplicity 1)
As  0.0000  0.0000  0.4816 (multiplicity 1)
As  0.5000  0.5000  0.7959 (multiplicity 1)

magnetic moment = 0.00 μB/cell
E above lowest polymorph = 3.58 eV per formula unit

A relaxed Ca2ScAs crystal, computed with PBE-GGA.

a b c (Å): 3.7488 5.2710 11.5782
angles (deg): 90.00 90.00 90.00
Space group Imm2 (No. 44)
Asymmetric unit:
Ca  0.0000  0.0000  0.0000 (multiplicity 2)
Ca  0.0000  0.5000  0.1921 (multiplicity 2)
Sc  0.0000  0.5000  0.8141 (multiplicity 2)
As  0.0000  0.0000  0.4801 (multiplicity 2)

magnetic moment = 0.00 μB/cell

A relaxed CaSc2As2 crystal, computed with PBE-GGA.

a b c (Å): 7.6188 7.6188 3.7312
angles (deg): 90.00 90.00 90.00
Space group P4/mbm (No. 127)
Asymmetric unit:
Ca  0.0000  0.0000  0.0000 (multiplicity 2)
Sc  0.1504  0.3496  0.5000 (multiplicity 4)
As  0.1488  0.6488  0.0000 (multiplicity 4)

magnetic moment = 0.00 μB/cell
E above lowest polymorph = 0.00 eV per formula unit

A relaxed CaScAs2 crystal, computed with PBE-GGA.

a b c (Å): 4.0442 4.0442 5.7104
angles (deg): 90.00 90.00 90.00
Space group P4/mmm (No. 123)
Asymmetric unit:
Ca  0.0000  0.0000  0.0000 (multiplicity 1)
Sc  0.5000  0.5000  0.5000 (multiplicity 1)
As  0.0000  0.0000  0.5000 (multiplicity 1)
As  0.5000  0.5000  0.0000 (multiplicity 1)

magnetic moment = 0.00 μB/cell
E above lowest polymorph = 0.41 eV per formula unit

no.,DFT total energy (eV/f.u.)
1,-13.83
2,-17.84
3,-96.58
4,-21.92
5,-21.11
6,-18.47
7,-16.37
8,-17.98
9,-20.26
10,-17.09
11,-28.68
12,-21.01
13,-16.27
14,-15.30
15,-28.19
16,-21.20
17,-21.40
18,-21.00
19,-21.47
20,-21.44
21,-17.04
22,-15.95
23,-22.11
24,-16.60
25,-17.18
26,-18.53
27,-17.12
28,-28.99
29,-21.70